Record 1
DFT (PBE) results for an optimized crystal structure of Sc2PbBr2.

Cell and atoms, written as POSCAR:
```
Sc2PbBr2
1.0
-7.7305 1.5742 2.2047
-2.6385 -5.8862 -5.0488
0.2618 -2.3343 2.5847
Br Pb Sc
4 2 4
direct
0.8683 0.3683 0.5000
0.1317 0.6317 0.5000
0.6317 0.8683 0.5000
0.3683 0.1317 0.5000
0.0000 0.0000 0.0000
0.5000 0.5000 0.0000
0.3470 0.8470 0.0000
0.6530 0.1530 0.0000
0.8470 0.6530 0.0000
0.1530 0.3470 0.0000
```

Output
E_form (uncorrected), eV per atom: -0.602

Record 2
DFT (PBE) results for an optimized crystal structure of ScPb2Br.

Cell and atoms, written as POSCAR:
```
ScPb2Br
1.0
-0.4341 -2.7087 -7.3194
-3.6834 -5.8277 -3.6837
0.4381 6.4182 4.4399
Pb Br Sc
2 1 1
direct
0.5548 0.5548 0.0000
0.9452 0.9452 0.0000
0.2500 0.7500 0.5000
0.7500 0.2500 0.5000
```

Output
E_form (uncorrected), eV per atom: -0.387
Energy above the most stable polymorph in this dataset, meV per atom: 157

Record 3
DFT (PBE) results for an optimized crystal structure of ScPb2Br.

Cell and atoms, written as POSCAR:
```
ScPb2Br
1.0
3.4992 0.0000 0.0000
0.0000 3.4991 0.0000
0.0000 0.0000 9.3889
Pb Sc Br
2 1 1
direct
0.5000 0.5000 0.2849
0.0000 0.0000 0.0385
0.0000 0.0000 0.5077
0.5000 0.5000 0.6689
```

Output
E_form (uncorrected), eV per atom: -0.467
Energy above the most stable polymorph in this dataset, meV per atom: 77

Record 4
DFT (PBE) results for an optimized crystal structure of Sc2Pb2Br.

Cell and atoms, written as POSCAR:
```
Sc2Pb2Br
1.0
-2.2798 -2.4041 6.8678
6.8774 1.6386 2.8566
-1.3749 4.0779 0.9711
Sc Br Pb
4 2 4
direct
0.6659 0.1659 0.0000
0.1659 0.3341 0.0000
0.8341 0.6659 0.0000
0.3341 0.8341 0.0000
0.0000 0.0000 0.0000
0.5000 0.5000 0.0000
0.8598 0.3598 0.5000
0.1402 0.6402 0.5000
0.6402 0.8598 0.5000
0.3598 0.1402 0.5000
```

Output
E_form (uncorrected), eV per atom: -0.503

Record 5
DFT (PBE) results for an optimized crystal structure of ScPbBr.

Cell and atoms, written as POSCAR:
```
ScPbBr
1.0
8.5532 0.0399 -0.0279
7.5585 3.3593 -0.0202
0.9947 -1.1384 3.1180
Sc Br Pb
1 1 1
direct
0.6550 0.6550 0.3450
0.0381 0.0381 0.9619
0.3069 0.3069 0.6931
```

Output
E_form (uncorrected), eV per atom: -0.609
Energy above the most stable polymorph in this dataset, meV per atom: 157

Record 6
DFT (PBE) results for an optimized crystal structure of Sc3PbBr.

Cell and atoms, written as POSCAR:
```
Sc3PbBr
1.0
5.5499 0.0000 0.0000
0.0000 5.5499 0.0000
0.0000 0.0000 5.5499
Sc Pb Br
3 1 1
direct
0.0000 0.0000 0.5000
0.5000 0.0000 0.0000
0.0000 0.5000 0.0000
0.0000 0.0000 0.0000
0.5000 0.5000 0.5000
```

Output
E_form (uncorrected), eV per atom: 0.350
Energy above the most stable polymorph in this dataset, meV per atom: 501

Record 7
DFT (PBE) results for an optimized crystal structure of ScPb2Br.

Cell and atoms, written as POSCAR:
```
ScPb2Br
1.0
3.5318 0.0000 0.0000
0.0000 4.2277 -0.0039
0.0000 2.0978 8.5565
Sc Pb Br
1 2 1
direct
0.0000 0.7073 0.4615
0.0000 0.9038 0.0631
0.5000 0.2958 0.2822
0.5000 0.5931 0.6932
```

Output
E_form (uncorrected), eV per atom: -0.501
Energy above the most stable polymorph in this dataset, meV per atom: 43

Record 8
DFT (PBE) results for an optimized crystal structure of ScPb2Br.

Cell and atoms, written as POSCAR:
```
ScPb2Br
1.0
8.4972 1.6752 -0.3233
5.6441 6.5691 0.3233
-6.5443 -5.0251 2.6524
Pb Sc Br
2 1 1
direct
0.0342 0.0342 0.0000
0.6647 0.1647 0.5000
0.4626 0.4626 0.0000
0.3384 0.8384 0.5000
```

Output
E_form (uncorrected), eV per atom: -0.544
Energy above the most stable polymorph in this dataset, meV per atom: 0

Record 9
DFT (PBE) results for an optimized crystal structure of ScPbBr.

Cell and atoms, written as POSCAR:
```
ScPbBr
1.0
4.9931 0.0000 0.0000
2.4966 4.3242 0.0000
2.4966 1.4414 4.0769
Sc Br Pb
1 1 1
direct
0.5000 0.5000 0.5000
0.7500 0.7500 0.7500
0.0000 0.0000 0.0000
```

Output
E_form (uncorrected), eV per atom: 0.112
Energy above the most stable polymorph in this dataset, meV per atom: 877

Record 10
DFT (PBE) results for an optimized crystal structure of ScPb2Br.

Cell and atoms, written as POSCAR:
```
ScPb2Br
1.0
5.7599 0.0000 0.0000
0.0000 3.6604 0.0700
0.0000 3.2559 5.5753
Sc Br Pb
1 1 2
direct
0.5000 0.2500 0.2500
0.5000 0.7500 0.7500
0.0000 0.3061 0.4820
0.0000 0.1939 0.0180
```

Output
E_form (uncorrected), eV per atom: -0.266
Energy above the most stable polymorph in this dataset, meV per atom: 278

Record 11
DFT (PBE) results for an optimized crystal structure of Sc4PbBr.

Cell and atoms, written as POSCAR:
```
Sc4PbBr
1.0
3.6098 -1.0259 4.6888
-2.0646 -2.9906 4.7814
1.9464 -5.5681 1.1294
Sc Br Pb
4 1 1
direct
0.8812 0.3729 0.3729
0.3729 0.3729 0.8812
0.3729 0.8812 0.3729
0.3729 0.3729 0.3729
0.7500 0.7500 0.7500
0.0000 0.0000 0.0000
```

Output
E_form (uncorrected), eV per atom: 0.087

Record 12
DFT (PBE) results for an optimized crystal structure of ScPb2Br.

Cell and atoms, written as POSCAR:
```
ScPb2Br
1.0
-3.5042 -0.1908 -5.1926
-4.9603 -2.4425 -2.9511
-4.7556 3.5099 0.4366
Pb Sc Br
2 1 1
direct
0.0348 0.0348 0.9478
0.1886 0.1886 0.3744
0.4517 0.4517 0.4160
0.8248 0.8248 0.7618
```

Output
E_form (uncorrected), eV per atom: -0.434
Energy above the most stable polymorph in this dataset, meV per atom: 110

| no. | energy (eV per cell) |
| --- | --- |
| 1 | -45.5 |
| 2 | -17.0 |
| 3 | -17.3 |
| 4 | -48.5 |
| 5 | -13.5 |
| 6 | -22.6 |
| 7 | -17.4 |
| 8 | -17.6 |
| 9 | -11.4 |
| 10 | -16.5 |
| 11 | -30.2 |
| 12 | -17.2 |